Entry 1:
VASP calculation (PBE) on a relaxed TiMo8W2 crystal.

Geometry as CIF:
```
data_TiMo8W2
_chemical_formula_sum 'Ti2 Mo16 W4'
_cell_length_a 16.175
_cell_length_b 3.164
_cell_length_c 7.075
_cell_angle_alpha 90.00
_cell_angle_beta 105.23
_cell_angle_gamma 90.00
_symmetry_space_group_name_H-M 'C 1 2/m 1'
_symmetry_Int_Tables_number 12
_symmetry_space_group_name_Hall '-C 2y'
loop_
_atom_site_label
_atom_site_type_symbol
_atom_site_fract_x
_atom_site_fract_y
_atom_site_fract_z
Ti1 Ti 0.000 0.000 0.000
Mo1 Mo 0.046 0.500 0.726
Mo2 Mo 0.090 0.000 0.454
Mo3 Mo 0.137 0.500 0.184
Mo4 Mo 0.181 0.000 0.911
W1 W 0.228 0.500 0.638
```

Values from the calculation:
For the total energy, the calculation gives -11.032 eV/atom. The total magnetic moment comes out at 0.00 μB per cell.


Entry 2:
VASP calculation (PBE) on a relaxed TiMoW3 crystal.

Geometry as CIF:
```
data_TiMoW3
_chemical_formula_sum 'Ti4 Mo4 W12'
_cell_length_a 5.271
_cell_length_b 7.790
_cell_length_c 8.247
_cell_angle_alpha 80.78
_cell_angle_beta 79.58
_cell_angle_gamma 75.86
_symmetry_space_group_name_H-M 'P -1'
_symmetry_Int_Tables_number 2
_symmetry_space_group_name_Hall '-P 1'
loop_
_atom_site_label
_atom_site_type_symbol
_atom_site_fract_x
_atom_site_fract_y
_atom_site_fract_z
Ti1 Ti 0.182 0.348 0.228
Ti2 Ti 0.275 0.552 0.922
Mo1 Mo 0.073 0.150 0.525
Mo2 Mo 0.476 0.950 0.326
W1 W 0.024 0.048 0.175
W2 W 0.125 0.249 0.874
W3 W 0.226 0.449 0.574
W4 W 0.323 0.652 0.275
W5 W 0.371 0.752 0.623
W6 W 0.426 0.851 0.976
```

Values from the calculation:
The calculation puts the distance to the lowest polymorph of the same formula at 0 meV per atom. The total magnetic moment comes out at 0.00 μB per cell.


Entry 3:
VASP calculation (PBE) on a relaxed TiMo6W2 crystal.

Geometry as CIF:
```
data_TiMo6W2
_chemical_formula_sum 'Ti1 Mo6 W2'
_cell_length_a 7.7293
_cell_length_b 7.7293
_cell_length_c 2.7637
_cell_angle_alpha 90.00
_cell_angle_beta 90.00
_cell_angle_gamma 120.00
_symmetry_space_group_name_H-M 'P -3 1 m'
_symmetry_Int_Tables_number 162
_symmetry_space_group_name_Hall '-P 3 2'
loop_
_atom_site_label
_atom_site_type_symbol
_atom_site_fract_x
_atom_site_fract_y
_atom_site_fract_z
Ti1 Ti 0.0000 0.0000 0.0000
Mo1 Mo 0.0000 0.3337 0.3385
W1 W 0.3333 0.6667 0.0000
```

Values from the calculation:
The calculation puts the distance to the lowest polymorph of the same formula at 0 meV per atom. The total magnetic moment comes out at 0.00 μB per cell.